(1)
## Ac15PrSm4 (PBE)

Data for a relaxed Ac15PrSm4 crystal.

Properties
Total DFT energy (no corrections): -0.311 Ry per atom
DOS(E_F): 1.6696 states/eV per atom

a = 5.5339 Å, b = 5.5339 Å, c = 27.5300 Å
α = 90.00°, β = 90.00°, γ = 90.00°
Space group P4/mmm (No. 123)
Symmetry-distinct sites (fractional):
1 Ac 0.0000 0.0000 0.0000
2 Ac 0.0000 0.0000 0.2006
3 Ac 0.0000 0.0000 0.4001
4 Ac 0.0000 0.5000 0.1008
5 Ac 0.0000 0.5000 0.3003
6 Ac 0.0000 0.5000 0.5000
7 Pr 0.5000 0.5000 0.0000
8 Sm 0.5000 0.5000 0.2005
9 Sm 0.5000 0.5000 0.4001

***

(2)
## Ac2Pr7Sm3 (PBE)

Data for a relaxed Ac2Pr7Sm3 crystal.

Properties
Excess energy over the best structure of this formula in the dataset: 0 meV per atom
Total DFT energy (no corrections): -0.336 Ry per atom
DOS(E_F): 1.6184 states/eV per atom

a = 6.6073 Å, b = 3.6942 Å, c = 18.4018 Å
α = 90.00°, β = 96.34°, γ = 90.00°
Space group P2/m (No. 10)
Symmetry-distinct sites (fractional):
1 Ac 0.0600 0.0000 0.1722
2 Pr 0.0000 0.5000 0.5000
3 Pr 0.2291 0.0000 0.6651
4 Pr 0.2605 0.0000 0.9983
5 Pr 0.2794 0.5000 0.3390
6 Sm 0.4502 0.5000 0.8387
7 Sm 0.5000 0.0000 0.5000

***

(3)
## AcPr7Sm12 (PBE)

Data for a relaxed AcPr7Sm12 crystal.

Properties
Excess energy over the best structure of this formula in the dataset: 354 meV per atom
Total DFT energy (no corrections): -0.305 Ry per atom
DOS(E_F): 1.5012 states/eV per atom

a = 11.6320 Å, b = 11.6320 Å, c = 11.6320 Å
α = 90.00°, β = 90.00°, γ = 90.00°
Space group Im-3m (No. 229)
Symmetry-distinct sites (fractional):
1 Ac 0.0000 0.0000 0.0000
2 Pr 0.0000 0.0000 0.5000
3 Pr 0.2500 0.2500 0.2500
4 Sm 0.0000 0.2537 0.2537

***

(4)
## Ac2Pr2Sm (PBE)

Data for a relaxed Ac2Pr2Sm crystal.

Properties
Excess energy over the best structure of this formula in the dataset: 0 meV per atom
Total DFT energy (no corrections): -0.328 Ry per atom
DOS(E_F): 1.9152 states/eV per atom

a = 11.9782 Å, b = 5.4030 Å, c = 8.4858 Å
α = 90.00°, β = 134.53°, γ = 90.00°
Space group C2/m (No. 12)
Symmetry-distinct sites (fractional):
1 Ac 0.0974 0.0000 0.3005
2 Pr 0.2003 0.5000 0.0963
3 Sm 0.0000 0.5000 0.5000